[1]
The following is a PBE calculation of a geometry-optimized Ba2YCl7 structure, from the Alexandria database.

Results
Magnetization: 0.00 μB/f.u.
Formation energy (no corrections): -2.376 eV per atom

a b c (Å): 10.9236 8.8751 15.5152
angles (deg): 58.93 90.00 90.00
Sites, in units of the cell vectors:
Ba (0.1983, 0.7800, 0.4527)
Ba (0.3086, 0.3926, 0.7693)
Ba (0.8086, 0.6074, 0.7307)
Ba (0.3017, 0.7800, 0.9527)
Ba (0.6983, 0.2200, 0.0473)
Ba (0.1914, 0.3926, 0.2693)
Ba (0.6914, 0.6074, 0.2307)
Ba (0.8017, 0.2200, 0.5473)
Y (0.5974, 0.9466, 0.3842)
Y (0.9026, 0.9466, 0.8842)
Y (0.0974, 0.0534, 0.1158)
Y (0.4026, 0.0534, 0.6158)
Cl (0.5528, 0.9179, 0.2194)
Cl (0.8763, 0.9145, 0.1894)
Cl (0.2084, 0.7600, 0.2582)
Cl (0.4529, 0.7795, 0.5557)
Cl (0.9472, 0.9179, 0.7194)
Cl (0.0654, 0.5689, 0.6505)
Cl (0.7962, 0.9139, 0.4959)
Cl (0.3286, 0.3866, 0.5581)
Cl (0.6237, 0.9145, 0.6894)
Cl (0.2916, 0.7600, 0.7582)
Cl (0.8286, 0.6134, 0.9419)
Cl (0.2962, 0.0861, 0.0041)
Cl (0.5654, 0.4311, 0.8495)
Cl (0.0471, 0.7795, 0.0557)
Cl (0.9529, 0.2205, 0.9443)
Cl (0.4346, 0.5689, 0.1505)
Cl (0.7038, 0.9139, 0.9959)
Cl (0.1714, 0.3866, 0.0581)
Cl (0.7084, 0.2400, 0.2418)
Cl (0.3763, 0.0855, 0.3106)
Cl (0.6714, 0.6134, 0.4419)
Cl (0.2038, 0.0861, 0.5041)
Cl (0.9346, 0.4311, 0.3495)
Cl (0.0528, 0.0821, 0.2806)
Cl (0.5471, 0.2205, 0.4443)
Cl (0.7916, 0.2400, 0.7418)
Cl (0.1237, 0.0855, 0.8106)
Cl (0.4472, 0.0821, 0.7806)


[2]
The following is a PBE calculation of a geometry-optimized BaYCl2 structure, from the Alexandria database.

Results
Magnetization: 0.77 μB/f.u.
Formation energy (no corrections): -1.350 eV per atom

a b c (Å): 10.4872 10.4872 10.4872
angles (deg): 159.13 159.42 29.47
Last column: magnetic moment on the atom in μB.
Sites, in units of the cell vectors:
Y (0.4661, 0.4661, 0.0000)  0.35
Ba (0.2923, 0.7923, 0.5000)  0.02
Cl (0.0256, 0.0256, 0.0000)  0.01
Cl (0.7159, 0.2159, 0.5000)  0.00


[3]
The following is a PBE calculation of a geometry-optimized Ba2YCl structure, from the Alexandria database.

Results
Magnetization: 1.08 μB/f.u.
Formation energy (no corrections): -0.646 eV per atom

a b c (Å): 4.0385 4.1440 10.7781
angles (deg): 89.69 90.00 90.00
Last column: magnetic moment on the atom in μB.
Sites, in units of the cell vectors:
Ba (0.0000, 0.2453, 0.0194)  0.05
Ba (0.0000, 0.2547, 0.4806)  0.05
Cl (0.5000, 0.2500, 0.2500)  0.00
Y (0.5000, 0.7500, 0.7500)  0.33


[4]
The following is a PBE calculation of a geometry-optimized Ba2Zn2Cl structure, from the Alexandria database.

Results
Magnetization: 0.00 μB/f.u.
Formation energy (no corrections): -0.697 eV per atom

a b c (Å): 8.9094 8.9094 4.7036
angles (deg): 90.00 90.00 90.00
Sites, in units of the cell vectors:
Zn (0.0959, 0.5959, 0.5000)
Zn (0.5959, 0.9041, 0.5000)
Zn (0.9041, 0.4041, 0.5000)
Zn (0.4041, 0.0959, 0.5000)
Ba (0.3015, 0.8015, 0.0000)
Ba (0.8015, 0.6985, 0.0000)
Ba (0.6985, 0.1985, 0.0000)
Ba (0.1985, 0.3015, 0.0000)
Cl (0.0000, 0.0000, 0.0000)
Cl (0.5000, 0.5000, 0.0000)


E above lowest polymorph values, unit eV/f.u., following the record order: 0.643; 0.451; 0.225; 0.997.